[1]
Density functional theory data (PBE) for a relaxed structure of CeInAu6.

Cell and atoms, written as CIF:
```
data_CeInAu6
_chemical_formula_sum 'Ce1 In1 Au6'
_cell_length_a 5.082
_cell_length_b 4.929
_cell_length_c 7.690
_cell_angle_alpha 89.65
_cell_angle_beta 82.75
_cell_angle_gamma 61.29
_space_group_name_H-M_alt 'P 1'
_space_group_IT_number 1
loop_
_space_group_symop_operation_xyz
'x,y,z'
loop_
_atom_site_label
_atom_site_fract_x
_atom_site_fract_y
_atom_site_fract_z
Au1 0.629 0.185 0.716
In1 0.000 0.000 0.000
Au2 0.310 0.844 0.654
Au3 0.284 0.359 0.079
Au4 0.690 0.156 0.346
Ce1 0.000 0.500 0.500
Au5 0.371 0.815 0.284
Au6 0.716 0.641 0.921
```

Results
E_tot	-3.90	eV per atom
formation energy from the elements	-0.36	eV/atom
N(E_F)	7.2	states/eV/f.u.


[2]
Density functional theory data (PBE) for a relaxed structure of Ce4InAu.

Cell and atoms, written as CIF:
```
data_Ce4InAu
_chemical_formula_sum 'Ce8 In2 Au2'
_cell_length_a 5.576
_cell_length_b 7.568
_cell_length_c 8.722
_cell_angle_alpha 103.43
_cell_angle_beta 108.65
_cell_angle_gamma 90.00
_space_group_name_H-M_alt 'P 1'
_space_group_IT_number 1
loop_
_space_group_symop_operation_xyz
'x,y,z'
loop_
_atom_site_label
_atom_site_fract_x
_atom_site_fract_y
_atom_site_fract_z
In1 0.914 0.750 0.000
Ce1 0.033 0.894 0.673
Ce2 0.526 0.032 0.859
Au1 0.500 0.000 0.500
Ce3 0.334 0.532 0.859
In2 0.086 0.250 0.000
Au2 0.000 0.500 0.500
Ce4 0.360 0.606 0.327
Ce5 0.967 0.106 0.327
Ce6 0.640 0.394 0.673
Ce7 0.666 0.468 0.141
Ce8 0.474 0.968 0.141
```

Results
E_tot	-5.18	eV per atom
distance to the lowest polymorph of the same formula	62	meV per atom
formation energy from the elements	-0.23	eV/atom
N(E_F)	16.2	states/eV/f.u.